Record 1
Eu3IrO after structural relaxation. Source: Alexandria, functional PBE-GGA.

Cell lengths 4.8421, 4.8421, 4.8421 Å; angles 90.00, 90.00, 90.00 degrees
With the nearest neighbours (Å) after each atom.
Space group Pm-3m (No. 221)
One atom of each set of equivalent atoms:
Eu 0.0000 0.0000 0.5000 x3  2 O 2.42
Ir 0.5000 0.5000 0.5000 x1  12 Eu 3.42
O 0.0000 0.0000 0.0000 x1  6 Eu 2.42

Density ... 9.7 g/cm3
Formation energy without anion corrections ... -1.153 eV per atom
DFT total energy ... -50.409 eV/cell
Calculated volume ... 113.5 Å³ per cell

=====

Record 2
La2ScSi4Pt3 after structural relaxation. Source: Alexandria, functional PBE-GGA.

Cell lengths 4.2694, 4.2694, 10.6132 Å; angles 90.00, 90.00, 90.00 degrees
With the nearest neighbours (Å) after each atom.
Space group P-4m2 (No. 115)
One atom of each set of equivalent atoms:
La 0.0000 0.5000 0.2372 x2  8 Si 3.24-3.30, 6 Pt 3.29-3.51, 2 Sc 3.51
Sc 0.0000 0.0000 0.5000 x1  4 Si 2.67
Si 0.0000 0.0000 0.0000 x1  4 Pt 2.45
Si 0.0000 0.5000 0.6515 x2  3 Pt 2.49-2.67, 2 Sc 2.67
Si 0.5000 0.5000 0.0000 x1  4 Pt 2.45
Pt 0.0000 0.5000 0.8864 x2  5 Si 2.45-2.49
Pt 0.5000 0.5000 0.5000 x1  4 Si 2.67

Density ... 8.8 g/cm3
Formation energy without anion corrections ... -1.078 eV per atom
DFT total energy ... -66.778 eV/cell
Calculated volume ... 193.5 Å³ per cell

=====

Record 3
La3TlN after structural relaxation. Source: Alexandria, functional PBE-GGA.

Cell lengths 6.1258, 6.9294, 6.7777 Å; angles 90.00, 93.88, 90.00 degrees
With the nearest neighbours (Å) after each atom.
Space group P2_1/m (No. 11)
One atom of each set of equivalent atoms:
La 0.2179 0.2500 0.1184 x2  1 N 2.30
La 0.2420 0.5009 0.6249 x4  2 N 2.49-2.50
Tl 0.2818 0.7500 0.1495 x2  8 La 3.45-3.68, 1 N 3.71
N 0.0523 0.2500 0.4134 x2  5 La 2.30-2.50

Density ... 7.3 g/cm3
Formation energy without anion corrections ... -0.675 eV per atom
DFT total energy ... -57.698 eV/cell
Calculated volume ... 287.0 Å³ per cell

=====

Record 4
SbIF2 after structural relaxation. Source: Alexandria, functional PBE-GGA.

Cell lengths 6.4574, 5.3409, 13.9709 Å; angles 90.00, 109.59, 90.00 degrees
With the nearest neighbours (Å) after each atom.
Space group P2_1/c (No. 14)
One atom of each set of equivalent atoms:
Sb 0.1907 0.0308 0.4212 x4  2 F 2.00
I 0.2820 0.6909 0.2866 x4  1 Sb 2.81
F 0.0485 0.1900 0.5658 x4  1 Sb 2.00
F 0.3911 0.6561 0.0401 x4  1 Sb 2.00

Density ... 4.2 g/cm3
Formation energy without anion corrections ... -1.622 eV per atom
DFT total energy ... -63.606 eV/cell
Calculated volume ... 453.9 Å³ per cell

=====

Record 5
Ta2Br after structural relaxation. Source: Alexandria, functional PBE-GGA.

Cell lengths 12.6427, 3.1428, 6.7400 Å; angles 90.00, 114.51, 90.00 degrees
With the nearest neighbours (Å) after each atom.
Space group Cm (No. 8)
One atom of each set of equivalent atoms:
Ta 0.0000 0.0000 0.0000 x2  4 Br 2.67-2.68, 1 Ta 2.78
Ta 0.0764 0.0000 0.6685 x2  5 Ta 2.78-2.99, 2 Br 2.93
Ta 0.2287 0.5000 0.0097 x2  1 Br 2.63, 4 Ta 2.79-2.80
Ta 0.4153 0.0000 0.2838 x2  2 Br 2.76-2.88, 6 Ta 2.80-3.00
Br 0.1494 0.5000 0.3141 x2  4 Ta 2.63-2.88
Br 0.3795 0.0000 0.6606 x2  5 Ta 2.67-2.93

Density ... 12.0 g/cm3
Formation energy without anion corrections ... 0.510 eV per atom
DFT total energy ... -95.388 eV/cell
Calculated volume ... 243.7 Å³ per cell

=====

Record 6
Pm3Pb2O2 after structural relaxation. Source: Alexandria, functional PBE-GGA.

Cell lengths 12.6480, 4.0346, 8.0408 Å; angles 90.00, 116.90, 90.00 degrees
With the nearest neighbours (Å) after each atom.
Space group C2/m (No. 12)
One atom of each set of equivalent atoms:
Pm 0.0000 0.0000 0.0000 x2  2 O 2.34
Pm 0.1704 0.5000 0.7919 x4  3 O 2.31-2.36
Pb 0.1482 0.5000 0.3613 x4  2 Pb 3.24, 3 Pm 3.33-3.34
O 0.1567 0.0000 0.9199 x4  4 Pm 2.31-2.36

Density ... 8.0 g/cm3
Formation energy without anion corrections ... -1.815 eV per atom
DFT total energy ... -88.585 eV/cell
Calculated volume ... 365.9 Å³ per cell

=====

Record 7
Ba2TmSnO6 after structural relaxation. Source: Alexandria, functional PBE-GGA.

Cell lengths 8.5751, 8.5751, 8.5751 Å; angles 90.00, 90.00, 90.00 degrees
With the nearest neighbours (Å) after each atom.
Space group Fm-3m (No. 225)
One atom of each set of equivalent atoms:
Ba 0.2500 0.2500 0.2500 x8  12 O 3.03
Tm 0.0000 0.0000 0.0000 x4  6 O 2.20
Sn 0.0000 0.0000 0.5000 x4  6 O 2.08
O 0.0000 0.0000 0.2569 x24  1 Sn 2.08, 1 Tm 2.20

Density ... 6.9 g/cm3
Formation energy without anion corrections ... -2.530 eV per atom
DFT total energy ... -269.476 eV/cell
Calculated volume ... 630.6 Å³ per cell

=====

Record 8
Sr3Np4N9 after structural relaxation. Source: Alexandria, functional PBE-GGA.

Cell lengths 6.0065, 6.0065, 24.9076 Å; angles 90.00, 90.00, 120.00 degrees
With the nearest neighbours (Å) after each atom.
Space group R32 (No. 155, hexagonal axes)
One atom of each set of equivalent atoms:
Sr 0.0000 0.0000 0.0000 x3  3 N 2.71
Sr 0.0000 0.0000 0.4184 x6  6 N 2.75-2.78
Np 0.0000 0.0000 0.1553 x6  6 N 2.20-2.38
Np 0.0000 0.0000 0.2834 x6  6 N 2.15-2.21
N 0.0000 0.4519 0.0000 x9  2 Np 2.15
N 0.0223 0.5593 0.4423 x18  3 Np 2.20-2.38

Density ... 8.6 g/cm3
Formation energy without anion corrections ... -1.030 eV per atom
DFT total energy ... -444.658 eV/cell
Calculated volume ... 778.2 Å³ per cell

=====

Repeat the sixth record exactly.
Pm3Pb2O2 after structural relaxation. Source: Alexandria, functional PBE-GGA.

Cell lengths 12.6480, 4.0346, 8.0408 Å; angles 90.00, 116.90, 90.00 degrees
With the nearest neighbours (Å) after each atom.
Space group C2/m (No. 12)
One atom of each set of equivalent atoms:
Pm 0.0000 0.0000 0.0000 x2  2 O 2.34
Pm 0.1704 0.5000 0.7919 x4  3 O 2.31-2.36
Pb 0.1482 0.5000 0.3613 x4  2 Pb 3.24, 3 Pm 3.33-3.34
O 0.1567 0.0000 0.9199 x4  4 Pm 2.31-2.36

Density ... 8.0 g/cm3
Formation energy without anion corrections ... -1.815 eV per atom
DFT total energy ... -88.585 eV/cell
Calculated volume ... 365.9 Å³ per cell

=====

Question: Which of these has the highest formation energy without anion corrections?
Answer: Ta2Br

=====

Question: Number 4 is which compound?
Answer: SbIF2

=====

Please write out number 2 again, unchanged.
La2ScSi4Pt3 after structural relaxation. Source: Alexandria, functional PBE-GGA.

Cell lengths 4.2694, 4.2694, 10.6132 Å; angles 90.00, 90.00, 90.00 degrees
With the nearest neighbours (Å) after each atom.
Space group P-4m2 (No. 115)
One atom of each set of equivalent atoms:
La 0.0000 0.5000 0.2372 x2  8 Si 3.24-3.30, 6 Pt 3.29-3.51, 2 Sc 3.51
Sc 0.0000 0.0000 0.5000 x1  4 Si 2.67
Si 0.0000 0.0000 0.0000 x1  4 Pt 2.45
Si 0.0000 0.5000 0.6515 x2  3 Pt 2.49-2.67, 2 Sc 2.67
Si 0.5000 0.5000 0.0000 x1  4 Pt 2.45
Pt 0.0000 0.5000 0.8864 x2  5 Si 2.45-2.49
Pt 0.5000 0.5000 0.5000 x1  4 Si 2.67

Density ... 8.8 g/cm3
Formation energy without anion corrections ... -1.078 eV per atom
DFT total energy ... -66.778 eV/cell
Calculated volume ... 193.5 Å³ per cell